Computed, not measured: a relaxed ZnC2Cl crystal at the GGA-PBE level of DFT.

a b c (Å): 4.804 4.804 10.068
angles (deg): 90.00 90.00 90.00
Fractional positions:
Zn1 0.000 0.000 0.000
Zn2 0.000 0.500 0.250
Zn3 0.500 0.000 0.750
Zn4 0.500 0.500 0.500
C1 0.215 0.250 0.125
C2 0.250 0.715 0.375
C3 0.250 0.785 0.875
C4 0.285 0.250 0.625
C5 0.715 0.750 0.625
C6 0.750 0.215 0.875
C7 0.750 0.285 0.375
C8 0.785 0.750 0.125
Cl1 0.000 0.000 0.500
Cl2 0.000 0.500 0.750
Cl3 0.500 0.000 0.250
Cl4 0.500 0.500 0.000

**Formation energy without anion corrections**: 2.173 eV per atom
**Energy relative to the lowest polymorph listed for this composition**: 0 meV/atom
**N(E_F)**: 7.08 states/eV/cell



Computed, not measured: a relaxed Zn2CCl crystal at the GGA-PBE level of DFT.

a b c (Å): 5.380 5.380 9.837
angles (deg): 90.00 90.00 90.00
Fractional positions:
Zn1 0.147 0.250 0.125
Zn2 0.250 0.647 0.375
Zn3 0.250 0.853 0.875
Zn4 0.353 0.250 0.625
Zn5 0.647 0.750 0.625
Zn6 0.750 0.147 0.875
Zn7 0.750 0.353 0.375
Zn8 0.853 0.750 0.125
C1 0.000 0.000 0.000
C2 0.000 0.500 0.250
C3 0.500 0.000 0.750
C4 0.500 0.500 0.500
Cl1 0.000 0.000 0.500
Cl2 0.000 0.500 0.750
Cl3 0.500 0.000 0.250
Cl4 0.500 0.500 0.000

**Formation energy without anion corrections**: 0.294 eV per atom
**Energy relative to the lowest polymorph listed for this composition**: 235 meV/atom
**N(E_F)**: 1.42 states/eV/cell



Computed, not measured: a relaxed ZnCCl2 crystal at the GGA-PBE level of DFT.

a b c (Å): 3.465 3.465 22.520
angles (deg): 90.00 90.00 120.00
Fractional positions:
Zn1 0.000 0.000 0.000
Zn2 0.333 0.667 0.667
Zn3 0.667 0.333 0.333
C1 0.000 0.000 0.500
C2 0.333 0.667 0.167
C3 0.667 0.333 0.833
Cl1 0.000 0.000 0.399
Cl2 0.000 0.000 0.601
Cl3 0.333 0.667 0.065
Cl4 0.333 0.667 0.268
Cl5 0.667 0.333 0.732
Cl6 0.667 0.333 0.935

**Formation energy without anion corrections**: 1.101 eV per atom
**Energy relative to the lowest polymorph listed for this composition**: 0 meV/atom
**N(E_F)**: 3.81 states/eV/cell



Computed, not measured: a relaxed Zn2CCl crystal at the GGA-PBE level of DFT.

a b c (Å): 3.359 5.861 7.807
angles (deg): 77.03 86.55 80.24
Fractional positions:
Zn1 0.000 0.000 0.000
Zn2 0.056 0.625 0.632
Zn3 0.207 0.290 0.286
Zn4 0.516 0.858 0.251
C1 0.591 0.570 0.491
C2 0.650 0.460 0.361
Cl1 0.016 0.997 0.701
Cl2 0.036 0.422 0.935

**Formation energy without anion corrections**: 0.059 eV per atom
**Energy relative to the lowest polymorph listed for this composition**: 0 meV/atom
**N(E_F)**: 1.17 states/eV/cell



Computed, not measured: a relaxed Zn2CCl crystal at the GGA-PBE level of DFT.

a b c (Å): 6.200 6.200 6.200
angles (deg): 90.00 90.00 90.00
Fractional positions:
Zn1 0.250 0.250 0.250
Zn2 0.250 0.250 0.750
Zn3 0.250 0.750 0.250
Zn4 0.250 0.750 0.750
Zn5 0.750 0.250 0.250
Zn6 0.750 0.250 0.750
Zn7 0.750 0.750 0.250
Zn8 0.750 0.750 0.750
C1 0.000 0.000 0.000
C2 0.000 0.500 0.500
C3 0.500 0.000 0.500
C4 0.500 0.500 0.000
Cl1 0.000 0.000 0.500
Cl2 0.000 0.500 0.000
Cl3 0.500 0.000 0.000
Cl4 0.500 0.500 0.500

**Formation energy without anion corrections**: 1.352 eV per atom
**Energy relative to the lowest polymorph listed for this composition**: 1293 meV/atom
**N(E_F)**: 15.57 states/eV/cell



Computed, not measured: a relaxed ZrC2Cl crystal at the GGA-PBE level of DFT.

a b c (Å): 5.907 5.907 5.907
angles (deg): 90.00 90.00 90.00
Fractional positions:
Zr1 0.000 0.000 0.000
Zr2 0.000 0.500 0.500
Zr3 0.500 0.000 0.500
Zr4 0.500 0.500 0.000
C1 0.250 0.250 0.250
C2 0.250 0.250 0.750
C3 0.250 0.750 0.250
C4 0.250 0.750 0.750
C5 0.750 0.250 0.250
C6 0.750 0.250 0.750
C7 0.750 0.750 0.250
C8 0.750 0.750 0.750
Cl1 0.000 0.000 0.500
Cl2 0.000 0.500 0.000
Cl3 0.500 0.000 0.000
Cl4 0.500 0.500 0.500

**Formation energy without anion corrections**: 1.859 eV per atom
**Energy relative to the lowest polymorph listed for this composition**: 238 meV/atom
**N(E_F)**: 14.47 states/eV/cell



Computed, not measured: a relaxed ZrCCl2 crystal at the GGA-PBE level of DFT.

a b c (Å): 6.306 6.306 6.306
angles (deg): 90.00 90.00 90.00
Fractional positions:
Zr1 0.000 0.000 0.000
Zr2 0.000 0.500 0.500
Zr3 0.500 0.000 0.500
Zr4 0.500 0.500 0.000
C1 0.000 0.000 0.500
C2 0.000 0.500 0.000
C3 0.500 0.000 0.000
C4 0.500 0.500 0.500
Cl1 0.250 0.250 0.250
Cl2 0.250 0.250 0.750
Cl3 0.250 0.750 0.250
Cl4 0.250 0.750 0.750
Cl5 0.750 0.250 0.250
Cl6 0.750 0.250 0.750
Cl7 0.750 0.750 0.250
Cl8 0.750 0.750 0.750

**Formation energy without anion corrections**: 0.657 eV per atom
**Energy relative to the lowest polymorph listed for this composition**: 727 meV/atom
**N(E_F)**: 11.81 states/eV/cell



Computed, not measured: a relaxed ZrCCl2 crystal at the GGA-PBE level of DFT.

a b c (Å): 9.609 9.609 4.324
angles (deg): 90.00 90.00 90.00
Fractional positions:
Zr1 0.000 0.000 0.000
Zr2 0.000 0.500 0.250
Zr3 0.500 0.000 0.750
Zr4 0.500 0.500 0.500
C1 0.000 0.000 0.500
C2 0.000 0.500 0.750
C3 0.500 0.000 0.250
C4 0.500 0.500 0.000
Cl1 0.086 0.250 0.125
Cl2 0.250 0.586 0.375
Cl3 0.250 0.914 0.875
Cl4 0.414 0.250 0.625
Cl5 0.586 0.750 0.625
Cl6 0.750 0.086 0.875
Cl7 0.750 0.414 0.375
Cl8 0.914 0.750 0.125

**Formation energy without anion corrections**: -0.070 eV per atom
**Energy relative to the lowest polymorph listed for this composition**: 0 meV/atom
**N(E_F)**: 7.05 states/eV/cell



Computed, not measured: a relaxed ZrC2Cl crystal at the GGA-PBE level of DFT.

a b c (Å): 5.083 5.083 11.186
angles (deg): 90.00 90.00 90.00
Fractional positions:
Zr1 0.000 0.000 0.000
Zr2 0.000 0.500 0.250
Zr3 0.500 0.000 0.750
Zr4 0.500 0.500 0.500
C1 0.218 0.250 0.125
C2 0.250 0.718 0.375
C3 0.250 0.782 0.875
C4 0.282 0.250 0.625
C5 0.718 0.750 0.625
C6 0.750 0.218 0.875
C7 0.750 0.282 0.375
C8 0.782 0.750 0.125
Cl1 0.000 0.000 0.500
Cl2 0.000 0.500 0.750
Cl3 0.500 0.000 0.250
Cl4 0.500 0.500 0.000

**Formation energy without anion corrections**: 1.621 eV per atom
**Energy relative to the lowest polymorph listed for this composition**: 0 meV/atom
**N(E_F)**: 15.48 states/eV/cell



Computed, not measured: a relaxed Zr2CCl2 crystal at the GGA-PBE level of DFT.

a b c (Å): 3.450 3.450 30.022
angles (deg): 90.00 90.00 120.00
Fractional positions:
Zr1 0.000 0.000 0.127
Zr2 0.000 0.000 0.873
Zr3 0.333 0.667 0.540
Zr4 0.333 0.667 0.793
Zr5 0.667 0.333 0.207
Zr6 0.667 0.333 0.460
C1 0.000 0.000 0.500
C2 0.333 0.667 0.167
C3 0.667 0.333 0.833
Cl1 0.000 0.000 0.267
Cl2 0.000 0.000 0.733
Cl3 0.333 0.667 0.400
Cl4 0.333 0.667 0.933
Cl5 0.667 0.333 0.067
Cl6 0.667 0.333 0.600

**Formation energy without anion corrections**: -1.475 eV per atom
**N(E_F)**: 1.89 states/eV/cell



Computed, not measured: a relaxed Zr6CCl14 crystal at the GGA-PBE level of DFT.

a b c (Å): 9.703 9.703 11.661
angles (deg): 90.00 90.00 84.66
Fractional positions:
Zr1 0.047 0.182 0.882
Zr2 0.144 0.856 0.896
Zr3 0.182 0.047 0.118
Zr4 0.318 0.453 0.618
Zr5 0.356 0.644 0.396
Zr6 0.453 0.318 0.382
Zr7 0.547 0.682 0.618
Zr8 0.644 0.356 0.604
Zr9 0.682 0.547 0.382
Zr10 0.818 0.953 0.882
Zr11 0.856 0.144 0.104
Zr12 0.953 0.818 0.118
C1 0.000 0.000 0.000
C2 0.500 0.500 0.500
Cl1 0.034 0.211 0.248
Cl2 0.105 0.395 0.750
Cl3 0.114 0.639 0.010
Cl4 0.139 0.614 0.510
Cl5 0.154 0.846 0.262
Cl6 0.211 0.034 0.752
Cl7 0.249 0.249 0.000
Cl8 0.251 0.251 0.500
Cl9 0.289 0.466 0.252
Cl10 0.346 0.654 0.762
Cl11 0.361 0.886 0.010
Cl12 0.386 0.861 0.510
Cl13 0.395 0.105 0.250
Cl14 0.466 0.289 0.748
Cl15 0.534 0.711 0.252
Cl16 0.605 0.895 0.750
Cl17 0.614 0.139 0.490
Cl18 0.639 0.114 0.990
Cl19 0.654 0.346 0.238
Cl20 0.711 0.534 0.748
Cl21 0.749 0.749 0.500
Cl22 0.751 0.751 0.000
Cl23 0.789 0.966 0.248
Cl24 0.846 0.154 0.738
Cl25 0.861 0.386 0.490
Cl26 0.886 0.361 0.990
Cl27 0.895 0.605 0.250
Cl28 0.966 0.789 0.752

**Formation energy without anion corrections**: -1.764 eV per atom



Computed, not measured: a relaxed ZrCCl2 crystal at the GGA-PBE level of DFT.

a b c (Å): 3.251 3.251 24.992
angles (deg): 90.00 90.00 120.00
Fractional positions:
Zr1 0.000 0.000 0.000
Zr2 0.333 0.667 0.667
Zr3 0.667 0.333 0.333
C1 0.000 0.000 0.500
C2 0.333 0.667 0.167
C3 0.667 0.333 0.833
Cl1 0.000 0.000 0.407
Cl2 0.000 0.000 0.593
Cl3 0.333 0.667 0.074
Cl4 0.333 0.667 0.260
Cl5 0.667 0.333 0.740
Cl6 0.667 0.333 0.926

**Formation energy without anion corrections**: 0.648 eV per atom
**Energy relative to the lowest polymorph listed for this composition**: 718 meV/atom
**N(E_F)**: 4.97 states/eV/cell



Computed, not measured: a relaxed Co3C crystal at the GGA-PBE level of DFT.

a b c (Å): 4.708 8.820 4.023
angles (deg): 90.00 90.00 90.00
Fractional positions:
Co1 0.000 0.081 0.250
Co2 0.000 0.919 0.750
Co3 0.246 0.329 0.250
Co4 0.246 0.671 0.750
Co5 0.254 0.171 0.750
Co6 0.254 0.829 0.250
Co7 0.500 0.419 0.750
Co8 0.500 0.581 0.250
Co9 0.746 0.171 0.750
Co10 0.746 0.829 0.250
Co11 0.754 0.329 0.250
Co12 0.754 0.671 0.750
C1 0.000 0.493 0.250
C2 0.000 0.507 0.750
C3 0.500 0.007 0.750
C4 0.500 0.993 0.250

**N(E_F)**: 17.26 states/eV/cell
**ΔE_f**: 0.92 eV/atom



Computed, not measured: a relaxed Co2C crystal at the GGA-PBE level of DFT.

a b c (Å): 4.550 4.550 4.550
angles (deg): 60.00 60.00 60.00
Fractional positions:
Co1 0.000 0.000 0.000
Co2 0.000 0.000 0.500
Co3 0.000 0.500 0.000
Co4 0.500 0.000 0.000
C1 0.375 0.375 0.375
C2 0.625 0.625 0.625

**Energy relative to the lowest polymorph listed for this composition**: 1890 meV/atom
**N(E_F)**: 5.32 states/eV/cell
**ΔE_f**: 2.00 eV/atom



Computed, not measured: a relaxed CoC2 crystal at the GGA-PBE level of DFT.

a b c (Å): 13.731 13.731 13.731
angles (deg): 169.51 169.51 14.86
Fractional positions:
Co1 0.312 0.562 0.750
Co2 0.438 0.688 0.750
Co3 0.562 0.312 0.250
Co4 0.688 0.438 0.250
C1 0.014 0.764 0.250
C2 0.126 0.376 0.750
C3 0.236 0.986 0.250
C4 0.376 0.126 0.250
C5 0.624 0.874 0.750
C6 0.764 0.014 0.750
C7 0.874 0.624 0.250
C8 0.986 0.236 0.750

**Energy relative to the lowest polymorph listed for this composition**: 846 meV/atom
**N(E_F)**: 6.46 states/eV/cell
**ΔE_f**: 1.34 eV/atom



Computed, not measured: a relaxed Co3C crystal at the GGA-PBE level of DFT.

a b c (Å): 3.264 3.264 15.711
angles (deg): 90.00 90.00 90.00
Fractional positions:
Co1 0.000 0.000 0.119
Co2 0.000 0.000 0.881
Co3 0.000 0.500 0.000
Co4 0.000 0.500 0.250
Co5 0.000 0.500 0.500
Co6 0.000 0.500 0.750
Co7 0.500 0.000 0.000
Co8 0.500 0.000 0.250
Co9 0.500 0.000 0.500
Co10 0.500 0.000 0.750
Co11 0.500 0.500 0.381
Co12 0.500 0.500 0.619
C1 0.000 0.000 0.316
C2 0.000 0.000 0.684
C3 0.500 0.500 0.184
C4 0.500 0.500 0.816

**N(E_F)**: 18.82 states/eV/cell
**ΔE_f**: 0.67 eV/atom



Computed, not measured: a relaxed Co2C crystal at the GGA-PBE level of DFT.

a b c (Å): 17.018 17.018 17.018
angles (deg): 171.40 171.40 12.17
Fractional positions:
Co1 0.099 0.349 0.750
Co2 0.284 0.534 0.750
Co3 0.349 0.099 0.250
Co4 0.466 0.716 0.750
Co5 0.534 0.284 0.250
Co6 0.651 0.901 0.750
Co7 0.716 0.466 0.250
Co8 0.901 0.651 0.250
C1 0.056 0.806 0.250
C2 0.194 0.944 0.250
C3 0.806 0.056 0.750
C4 0.944 0.194 0.750

**Energy relative to the lowest polymorph listed for this composition**: 268 meV/atom
**N(E_F)**: 12.52 states/eV/cell
**ΔE_f**: 0.38 eV/atom



Computed, not measured: a relaxed Co3C crystal at the GGA-PBE level of DFT.

a b c (Å): 7.314 7.314 2.547
angles (deg): 90.00 90.00 120.00
Fractional positions:
Co1 0.000 0.500 0.000
Co2 0.167 0.333 0.333
Co3 0.167 0.833 0.333
Co4 0.333 0.167 0.667
Co5 0.500 0.000 0.000
Co6 0.500 0.500 0.000
Co7 0.667 0.833 0.333
Co8 0.833 0.167 0.667
Co9 0.833 0.667 0.667
C1 0.000 0.000 0.000
C2 0.333 0.667 0.667
C3 0.667 0.333 0.333

**N(E_F)**: 13.22 states/eV/cell
**ΔE_f**: 0.99 eV/atom



Computed, not measured: a relaxed CoC crystal at the GGA-PBE level of DFT.

a b c (Å): 6.292 5.419 4.765
angles (deg): 76.01 56.70 47.30
Fractional positions:
Co1 0.002 0.002 0.748
Co2 0.252 0.252 0.998
Co3 0.748 0.748 0.002
Co4 0.998 0.998 0.252
C1 0.051 0.699 0.051
C2 0.301 0.949 0.301
C3 0.699 0.051 0.699
C4 0.949 0.301 0.949

**N(E_F)**: 1.40 states/eV/cell
**ΔE_f**: 0.57 eV/atom



Computed, not measured: a relaxed CoC crystal at the GGA-PBE level of DFT.

a b c (Å): 2.514 2.514 10.393
angles (deg): 90.00 90.00 90.00
Fractional positions:
Co1 0.000 0.000 0.151
Co2 0.000 0.000 0.849
Co3 0.500 0.500 0.349
Co4 0.500 0.500 0.651
C1 0.000 0.000 0.431
C2 0.000 0.000 0.569
C3 0.500 0.500 0.069
C4 0.500 0.500 0.931

**N(E_F)**: 4.19 states/eV/cell
**ΔE_f**: 0.48 eV/atom



Computed, not measured: a relaxed CoC2 crystal at the GGA-PBE level of DFT.

a b c (Å): 7.009 2.508 6.331
angles (deg): 90.00 90.00 90.00
Fractional positions:
Co1 0.146 0.250 0.060
Co2 0.354 0.750 0.560
Co3 0.646 0.250 0.440
Co4 0.854 0.750 0.940
C1 0.096 0.750 0.783
C2 0.178 0.250 0.724
C3 0.322 0.750 0.224
C4 0.404 0.250 0.283
C5 0.596 0.750 0.717
C6 0.678 0.250 0.776
C7 0.822 0.750 0.276
C8 0.904 0.250 0.217

**Energy relative to the lowest polymorph listed for this composition**: 251 meV/atom
**N(E_F)**: 8.18 states/eV/cell
**ΔE_f**: 0.74 eV/atom



Computed, not measured: a relaxed CoC2 crystal at the GGA-PBE level of DFT.

a b c (Å): 7.323 2.559 3.251
angles (deg): 90.00 90.18 90.00
Fractional positions:
Co1 0.000 0.000 0.000
Co2 0.500 0.500 0.000
C1 0.214 0.500 0.000
C2 0.286 0.000 0.000
C3 0.714 0.000 0.000
C4 0.786 0.500 0.000

**Energy relative to the lowest polymorph listed for this composition**: 438 meV/atom
**N(E_F)**: 5.18 states/eV/cell
**ΔE_f**: 0.93 eV/atom



Computed, not measured: a relaxed Co3C crystal at the GGA-PBE level of DFT.

a b c (Å): 4.269 4.269 4.269
angles (deg): 90.00 90.00 90.00
Fractional positions:
Co1 0.000 0.250 0.500
Co2 0.000 0.750 0.500
Co3 0.250 0.500 0.000
Co4 0.500 0.000 0.250
Co5 0.500 0.000 0.750
Co6 0.750 0.500 0.000
C1 0.000 0.000 0.000
C2 0.500 0.500 0.500

**N(E_F)**: 9.76 states/eV/cell
**ΔE_f**: 0.97 eV/atom